(1)
! PBE Sr2BiSb2, optimized geometry; values from VASP
! Formation energy without anion corrections ... -658.1 meV/atom
! Calculated total energy ... -0.27606 Ry/atom
&SYSTEM
  ibrav = 0, nat = 10, ntyp = 3
/
ATOMIC_SPECIES
Sr 87.62 Sr.upf
Bi 208.98 Bi.upf
Sb 121.76 Sb.upf
CELL_PARAMETERS angstrom
4.5482 0.0000 0.0000
2.2741 6.4867 -0.2903
2.2741 0.5100 12.0694
ATOMIC_POSITIONS crystal
Sr 0.3339 0.2406 0.0916
Sr 0.4914 0.3403 0.6770
Sr 0.6661 0.7594 0.9084
Sr 0.5086 0.6597 0.3230
Bi 0.8034 0.0898 0.3035
Bi 0.1966 0.9102 0.6965
Sb 0.9403 0.2367 0.8827
Sb 0.1266 0.2958 0.4509
Sb 0.0597 0.7633 0.1173
Sb 0.8734 0.7042 0.5491

(2)
! PBE SrBi2Sb2, optimized geometry; values from VASP
! Formation energy without anion corrections ... -246.6 meV/atom
! Calculated total energy ... -0.27814 Ry/atom
&SYSTEM
  ibrav = 0, nat = 5, ntyp = 3
/
ATOMIC_SPECIES
Sb 121.76 Sb.upf
Bi 208.98 Bi.upf
Sr 87.62 Sr.upf
CELL_PARAMETERS angstrom
4.6514 0.0000 0.0000
0.0000 4.6514 0.0000
2.3257 2.3257 7.9962
ATOMIC_POSITIONS crystal
Sb 0.4090 0.4090 0.1819
Sb 0.5910 0.5910 0.8181
Bi 0.7500 0.2500 0.5000
Bi 0.2500 0.7500 0.5000
Sr 0.0000 0.0000 0.0000

(3)
! PBE SrBiSb3, optimized geometry; values from VASP
! Formation energy without anion corrections ... 268.5 meV/atom
! Calculated total energy ... -0.24383 Ry/atom
&SYSTEM
  ibrav = 0, nat = 5, ntyp = 3
/
ATOMIC_SPECIES
Sb 121.76 Sb.upf
Bi 208.98 Bi.upf
Sr 87.62 Sr.upf
CELL_PARAMETERS angstrom
-2.0931 4.0473 -3.6732
-5.4655 -1.5323 1.4262
0.0246 3.9402 4.3276
ATOMIC_POSITIONS crystal
Sb 0.0000 0.5000 0.0000
Sb 0.0000 0.0000 0.5000
Sb 0.5000 0.0000 0.0000
Bi 0.0000 0.0000 0.0000
Sr 0.5000 0.5000 0.5000

(4)
! PBE Sr8Bi2Sb3, optimized geometry; values from VASP
! Formation energy without anion corrections ... -877.9 meV/atom
! Calculated total energy ... -0.25440 Ry/atom
&SYSTEM
  ibrav = 0, nat = 13, ntyp = 3
/
ATOMIC_SPECIES
Sr 87.62 Sr.upf
Bi 208.98 Bi.upf
Sb 121.76 Sb.upf
CELL_PARAMETERS angstrom
-3.5326 4.0907 -1.6845
-8.9660 -6.2346 3.6618
5.0393 6.6043 5.4703
ATOMIC_POSITIONS crystal
Sr 0.0000 0.6247 0.2497
Sr 0.0000 0.3753 0.7503
Sr 0.0000 0.1147 0.2294
Sr 0.0000 0.8853 0.7706
Sr 0.5000 0.6418 0.7594
Sr 0.5000 0.1177 0.7595
Sr 0.5000 0.8823 0.2405
Sr 0.5000 0.3582 0.2406
Bi 0.5000 0.2615 0.5231
Bi 0.5000 0.7385 0.4769
Sb 0.5000 0.0000 0.0000
Sb 0.0000 0.2725 0.9998
Sb 0.0000 0.7275 0.0002